Below is Pa3Rh12W after structural relaxation, with properties calculated at the PBE level.

Values from the calculation:
DOS(E_F) in states/eV per atom: 0.7373
Calculated formation energy in eV per atom: -0.72

a b c (Å): 4.013 4.013 16.038
angles (deg): 90.00 90.00 90.00
Positions (direct):
Pa  0.000  0.000  0.000
Pa  0.000  0.000  0.254
Pa  0.000  0.000  0.746
Rh  0.000  0.500  0.128
Rh  0.000  0.500  0.386
Rh  0.000  0.500  0.614
Rh  0.000  0.500  0.872
Rh  0.500  0.000  0.128
Rh  0.500  0.000  0.386
Rh  0.500  0.000  0.614
Rh  0.500  0.000  0.872
Rh  0.500  0.500  0.000
Rh  0.500  0.500  0.257
Rh  0.500  0.500  0.500
Rh  0.500  0.500  0.743
W  0.000  0.000  0.500